[1]
# PBE SrRu, optimized geometry
# Total magnetic moment ... 0.0 μB per cell
# Total DFT energy (no corrections) ... -10.31 eV per formula unit
# DFT formation energy ... 31.18 kJ/mol of atoms
data_SrRu
_cell_length_a 4.0342
_cell_length_b 4.0342
_cell_length_c 9.1380
_cell_angle_alpha 90.00
_cell_angle_beta 90.00
_cell_angle_gamma 120.00
_space_group_name_H-M_alt 'P -3 m 1'
_space_group_IT_number 164
_space_group_name_Hall '-P 3 2"'
loop_
_atom_site_label
_atom_site_type_symbol
_atom_site_fract_x
_atom_site_fract_y
_atom_site_fract_z
Sr1 Sr 0.3333 0.6667 0.2059
Ru1 Ru 0.3333 0.6667 0.5315



[2]
# PBE PmNb3N6, optimized geometry
# Total magnetic moment ... 0.0 μB per cell
# Total DFT energy (no corrections) ... -93.94 eV per formula unit
data_PmNb3N6
_cell_length_a 8.6439
_cell_length_b 3.2185
_cell_length_c 9.0256
_cell_angle_alpha 90.00
_cell_angle_beta 107.44
_cell_angle_gamma 90.00
_space_group_name_H-M_alt 'P 1 21/m 1'
_space_group_IT_number 11
loop_
_space_group_symop_operation_xyz
'x,y,z'
'-x,-y,-z'
'-x,y+1/2,-z'
'x,-y+1/2,z'
loop_
_atom_site_label
_atom_site_type_symbol
_atom_site_fract_x
_atom_site_fract_y
_atom_site_fract_z
Pm1 Pm 0.0791 0.2500 0.2005
Nb1 Nb 0.1628 0.2500 0.5890
Nb2 Nb 0.3219 0.7500 0.9971
Nb3 Nb 0.4950 0.2500 0.3292
N1 N 0.0731 0.7500 0.4080
N2 N 0.1450 0.2500 0.9512
N3 N 0.2474 0.7500 0.7231
N4 N 0.3133 0.7500 0.2328
N5 N 0.3845 0.2500 0.5296
N6 N 0.4771 0.2500 0.0976



[3]
# PBE CuNiRh4, optimized geometry
# Offset from the most stable computed form ... 476 meV/atom
# Total magnetic moment ... 15.6 μB per cell
# Total DFT energy (no corrections) ... -36.03 eV per formula unit
# DFT formation energy ... 52.33 kJ/mol of atoms
data_CuNiRh4
_cell_length_a 7.1587
_cell_length_b 7.1587
_cell_length_c 7.1587
_cell_angle_alpha 90.00
_cell_angle_beta 90.00
_cell_angle_gamma 90.00
_space_group_name_H-M_alt 'F -4 3 m'
_space_group_IT_number 216
_space_group_name_Hall 'F -4 2 3'
loop_
_atom_site_label
_atom_site_type_symbol
_atom_site_fract_x
_atom_site_fract_y
_atom_site_fract_z
Cu1 Cu 0.0000 0.0000 0.0000
Ni1 Ni 0.2500 0.2500 0.7500
Rh1 Rh 0.1249 0.1249 0.3751



[4]
# PBE FeB2Pt, optimized geometry
# Offset from the most stable computed form ... 0 meV/atom
# Total magnetic moment ... 0.0 μB per cell
# Total DFT energy (no corrections) ... -26.96 eV per formula unit
# DFT formation energy ... 21.66 kJ/mol of atoms
data_FeB2Pt
_cell_length_a 5.3033
_cell_length_b 5.3033
_cell_length_c 5.3033
_cell_angle_alpha 90.00
_cell_angle_beta 90.00
_cell_angle_gamma 90.00
_space_group_name_H-M_alt 'F m -3 m'
_space_group_IT_number 225
_space_group_name_Hall '-F 4 2 3'
loop_
_atom_site_label
_atom_site_type_symbol
_atom_site_fract_x
_atom_site_fract_y
_atom_site_fract_z
Fe1 Fe 0.0000 0.0000 0.0000
B1 B 0.2500 0.2500 0.2500
Pt1 Pt 0.0000 0.0000 0.5000



[5]
# PBE SrAl2W, optimized geometry
# Offset from the most stable computed form ... 579 meV/atom
# Total magnetic moment ... 0.0 μB per cell
# Total DFT energy (no corrections) ... -19.21 eV per formula unit
# DFT formation energy ... 70.27 kJ/mol of atoms
data_SrAl2W
_cell_length_a 4.6458
_cell_length_b 4.6458
_cell_length_c 3.7855
_cell_angle_alpha 90.00
_cell_angle_beta 90.00
_cell_angle_gamma 90.00
_space_group_name_H-M_alt 'P 4/m m m'
_space_group_IT_number 123
_space_group_name_Hall '-P 4 2'
loop_
_atom_site_label
_atom_site_type_symbol
_atom_site_fract_x
_atom_site_fract_y
_atom_site_fract_z
Sr1 Sr 0.0000 0.0000 0.0000
Al1 Al 0.0000 0.5000 0.5000
W1 W 0.5000 0.5000 0.0000



[6]
# PBE Ti3NbS6, optimized geometry
# Total magnetic moment ... 4.0 μB per cell
# Total DFT energy (no corrections) ... -69.74 eV per formula unit
data_Ti3NbS6
_cell_length_a 9.8929
_cell_length_b 3.4996
_cell_length_c 10.3506
_cell_angle_alpha 90.00
_cell_angle_beta 109.06
_cell_angle_gamma 90.00
_space_group_name_H-M_alt 'P 1 21/m 1'
_space_group_IT_number 11
loop_
_space_group_symop_operation_xyz
'x,y,z'
'-x,-y,-z'
'-x,y+1/2,-z'
'x,-y+1/2,z'
loop_
_atom_site_label
_atom_site_type_symbol
_atom_site_fract_x
_atom_site_fract_y
_atom_site_fract_z
Ti1 Ti 0.0742 0.2500 0.1467
Ti2 Ti 0.1838 0.7500 0.5141
Ti3 Ti 0.3597 0.2500 0.9437
Nb1 Nb 0.4497 0.2500 0.2976
S1 S 0.0237 0.2500 0.3823
S2 S 0.1067 0.2500 0.9226
S3 S 0.2431 0.7500 0.2879
S4 S 0.3137 0.7500 0.7558
S5 S 0.3902 0.2500 0.5337
S6 S 0.4229 0.7500 0.1078



[7]
# PBE PmCd3Pd3, optimized geometry
# Offset from the most stable computed form ... 625 meV/atom
# Total magnetic moment ... 0.0 μB per cell
# Total DFT energy (no corrections) ... -21.75 eV per formula unit
# DFT formation energy ... 18.26 kJ/mol of atoms
data_PmCd3Pd3
_cell_length_a 7.2686
_cell_length_b 7.2686
_cell_length_c 7.2686
_cell_angle_alpha 90.00
_cell_angle_beta 90.00
_cell_angle_gamma 90.00
_space_group_name_H-M_alt 'P m -3 n'
_space_group_IT_number 223
_space_group_name_Hall '-P 4n 2 3'
loop_
_atom_site_label
_atom_site_type_symbol
_atom_site_fract_x
_atom_site_fract_y
_atom_site_fract_z
Pm1 Pm 0.0000 0.0000 0.0000
Cd1 Cd 0.0000 0.2500 0.5000
Pd1 Pd 0.0000 0.5000 0.2500



[8]
# PBE La2ZrScO, optimized geometry
# Offset from the most stable computed form ... 0 meV/atom
# Total magnetic moment ... 0.0 μB per cell
# Total DFT energy (no corrections) ... -35.29 eV per formula unit
data_La2ZrScO
_cell_length_a 5.2630
_cell_length_b 5.2630
_cell_length_c 4.2566
_cell_angle_alpha 90.00
_cell_angle_beta 90.00
_cell_angle_gamma 90.00
_space_group_name_H-M_alt 'P 4/m m m'
_space_group_IT_number 123
_space_group_name_Hall '-P 4 2'
loop_
_atom_site_label
_atom_site_type_symbol
_atom_site_fract_x
_atom_site_fract_y
_atom_site_fract_z
La1 La 0.0000 0.5000 0.0000
Zr1 Zr 0.0000 0.0000 0.5000
Sc1 Sc 0.5000 0.5000 0.5000
O1 O 0.5000 0.5000 0.0000



[9]
# PBE Mn2MoAu, optimized geometry
# Offset from the most stable computed form ... 0 meV/atom
# Total magnetic moment ... 5.6 μB per cell
# Total DFT energy (no corrections) ... -31.97 eV per formula unit
# DFT formation energy ... 11.53 kJ/mol of atoms
data_Mn2MoAu
_cell_length_a 3.1737
_cell_length_b 3.1737
_cell_length_c 6.0359
_cell_angle_alpha 90.00
_cell_angle_beta 90.00
_cell_angle_gamma 90.00
_space_group_name_H-M_alt 'P 4/m m m'
_space_group_IT_number 123
_space_group_name_Hall '-P 4 2'
loop_
_atom_site_label
_atom_site_type_symbol
_atom_site_fract_x
_atom_site_fract_y
_atom_site_fract_z
Mn1 Mn 0.0000 0.0000 0.2345
Mo1 Mo 0.5000 0.5000 0.0000
Au1 Au 0.5000 0.5000 0.5000



[10]
# PBE TcBTe2N, optimized geometry
# Offset from the most stable computed form ... 0 meV/atom
# Total magnetic moment ... 2.5 μB per cell
# Total DFT energy (no corrections) ... -28.27 eV per formula unit
data_TcBTe2N
_cell_length_a 5.5110
_cell_length_b 5.5110
_cell_length_c 2.8428
_cell_angle_alpha 90.00
_cell_angle_beta 90.00
_cell_angle_gamma 90.00
_space_group_name_H-M_alt 'P 4/m m m'
_space_group_IT_number 123
_space_group_name_Hall '-P 4 2'
loop_
_atom_site_label
_atom_site_type_symbol
_atom_site_fract_x
_atom_site_fract_y
_atom_site_fract_z
Tc1 Tc 0.0000 0.0000 0.0000
B1 B 0.5000 0.5000 0.5000
Te1 Te 0.0000 0.5000 0.5000
N1 N 0.5000 0.5000 0.0000



[11]
# PBE Ca3TiPt, optimized geometry
# Offset from the most stable computed form ... 891 meV/atom
# Total magnetic moment ... 4.4 μB per cell
# Total DFT energy (no corrections) ... -15.19 eV per formula unit
# DFT formation energy ... 91.60 kJ/mol of atoms
data_Ca3TiPt
_cell_length_a 5.5194
_cell_length_b 5.5194
_cell_length_c 5.5194
_cell_angle_alpha 90.00
_cell_angle_beta 90.00
_cell_angle_gamma 90.00
_space_group_name_H-M_alt 'P m -3 m'
_space_group_IT_number 221
_space_group_name_Hall '-P 4 2 3'
loop_
_atom_site_label
_atom_site_type_symbol
_atom_site_fract_x
_atom_site_fract_y
_atom_site_fract_z
Ca1 Ca 0.0000 0.0000 0.5000
Ti1 Ti 0.0000 0.0000 0.0000
Pt1 Pt 0.5000 0.5000 0.5000



[12]
# PBE Pm3AuSe, optimized geometry
# Total magnetic moment ... 0.0 μB per cell
# Total DFT energy (no corrections) ... -25.78 eV per formula unit
data_Pm3AuSe
_cell_length_a 7.3259
_cell_length_b 4.2579
_cell_length_c 9.2619
_cell_angle_alpha 90.00
_cell_angle_beta 93.29
_cell_angle_gamma 90.00
_space_group_name_H-M_alt 'P 1 21/m 1'
_space_group_IT_number 11
loop_
_space_group_symop_operation_xyz
'x,y,z'
'-x,-y,-z'
'-x,y+1/2,-z'
'x,-y+1/2,z'
loop_
_atom_site_label
_atom_site_type_symbol
_atom_site_fract_x
_atom_site_fract_y
_atom_site_fract_z
Pm1 Pm 0.0028 0.2500 0.1694
Pm2 Pm 0.2311 0.2500 0.5562
Pm3 Pm 0.4794 0.2500 0.1861
Au1 Au 0.2475 0.7500 0.3333
Se1 Se 0.2668 0.2500 0.9019



[13]
# PBE ZrPdPb2W, optimized geometry
# Total magnetic moment ... 0.0 μB per cell
# Total DFT energy (no corrections) ... -29.64 eV per formula unit
# DFT formation energy ... 86.26 kJ/mol of atoms
data_ZrPdPb2W
_cell_length_a 5.3437
_cell_length_b 5.3437
_cell_length_c 4.9935
_cell_angle_alpha 90.00
_cell_angle_beta 90.00
_cell_angle_gamma 90.00
_space_group_name_H-M_alt 'P 4/m m m'
_space_group_IT_number 123
_space_group_name_Hall '-P 4 2'
loop_
_atom_site_label
_atom_site_type_symbol
_atom_site_fract_x
_atom_site_fract_y
_atom_site_fract_z
Zr1 Zr 0.0000 0.0000 0.0000
Pd1 Pd 0.5000 0.5000 0.0000
Pb1 Pb 0.0000 0.5000 0.5000
W1 W 0.0000 0.0000 0.5000



[14]
# PBE MgCoRu2, optimized geometry
# Total magnetic moment ... 2.2 μB per cell
# Total DFT energy (no corrections) ... -26.28 eV per formula unit
# DFT formation energy ... 23.51 kJ/mol of atoms
data_MgCoRu2
_cell_length_a 2.9141
_cell_length_b 4.3232
_cell_length_c 4.4188
_cell_angle_alpha 90.00
_cell_angle_beta 90.00
_cell_angle_gamma 90.00
_space_group_name_H-M_alt 'P m m m'
_space_group_IT_number 47
loop_
_space_group_symop_operation_xyz
'x,y,z'
'-x,-y,-z'
'-x,-y,z'
'x,y,-z'
'x,-y,-z'
'-x,y,z'
'-x,y,-z'
'x,-y,z'
loop_
_atom_site_label
_atom_site_type_symbol
_atom_site_fract_x
_atom_site_fract_y
_atom_site_fract_z
Mg1 Mg 0.0000 0.0000 0.0000
Co1 Co 0.5000 0.0000 0.5000
Ru1 Ru 0.0000 0.5000 0.5000
Ru2 Ru 0.5000 0.5000 0.0000



[15]
# PBE Ac2PmSbO8, optimized geometry
# Total magnetic moment ... 0.0 μB per cell
# Total DFT energy (no corrections) ... -86.21 eV per formula unit
data_Ac2PmSbO8
_cell_length_a 4.5104
_cell_length_b 7.3285
_cell_length_c 5.6636
_cell_angle_alpha 90.00
_cell_angle_beta 92.72
_cell_angle_gamma 90.00
_space_group_name_H-M_alt 'P 1 2/m 1'
_space_group_IT_number 10
loop_
_space_group_symop_operation_xyz
'x,y,z'
'-x,-y,-z'
'-x,y,-z'
'x,-y,z'
loop_
_atom_site_label
_atom_site_type_symbol
_atom_site_fract_x
_atom_site_fract_y
_atom_site_fract_z
Ac1 Ac 0.0000 0.2466 0.0000
Pm1 Pm 0.5000 0.5000 0.5000
Sb1 Sb 0.5000 0.0000 0.5000
O1 O 0.0571 0.5000 0.2527
O2 O 0.0701 0.0000 0.3851
O3 O 0.4569 0.2039 0.7360



[16]
# PBE Na2SnH2, optimized geometry
# Offset from the most stable computed form ... 65 meV/atom
# Total magnetic moment ... 0.0 μB per cell
# Total DFT energy (no corrections) ... -12.27 eV per formula unit
data_Na2SnH2
_cell_length_a 4.0535
_cell_length_b 4.0535
_cell_length_c 10.7457
_cell_angle_alpha 90.00
_cell_angle_beta 90.00
_cell_angle_gamma 90.00
_space_group_name_H-M_alt 'I 4/m m m'
_space_group_IT_number 139
_space_group_name_Hall '-I 4 2'
loop_
_atom_site_label
_atom_site_type_symbol
_atom_site_fract_x
_atom_site_fract_y
_atom_site_fract_z
Na1 Na 0.0000 0.0000 0.1712
Sn1 Sn 0.0000 0.0000 0.5000
H1 H 0.0000 0.5000 0.2500



[17]
# PBE CrCu2Ir, optimized geometry
# Total magnetic moment ... 0.0 μB per cell
# Total DFT energy (no corrections) ... -23.63 eV per formula unit
# DFT formation energy ... 73.55 kJ/mol of atoms
data_CrCu2Ir
_cell_length_a 6.7388
_cell_length_b 6.7388
_cell_length_c 4.8560
_cell_angle_alpha 90.00
_cell_angle_beta 90.00
_cell_angle_gamma 90.00
_space_group_name_H-M_alt 'I -4 2 d'
_space_group_IT_number 122
_space_group_name_Hall 'I -4 2bw'
loop_
_atom_site_label
_atom_site_type_symbol
_atom_site_fract_x
_atom_site_fract_y
_atom_site_fract_z
Cr1 Cr 0.0000 0.0000 0.0000
Cu1 Cu 0.2400 0.2500 0.1250
Ir1 Ir 0.0000 0.0000 0.5000



[18]
# PBE Dy2MnBePt6, optimized geometry
# Total magnetic moment ... 16.1 μB per cell
# Total DFT energy (no corrections) ... -63.37 eV per formula unit
# DFT formation energy ... -48.48 kJ/mol of atoms
data_Dy2MnBePt6
_cell_length_a 9.0438
_cell_length_b 9.0438
_cell_length_c 9.0438
_cell_angle_alpha 90.00
_cell_angle_beta 90.00
_cell_angle_gamma 90.00
_space_group_name_H-M_alt 'F m -3 m'
_space_group_IT_number 225
_space_group_name_Hall '-F 4 2 3'
loop_
_atom_site_label
_atom_site_type_symbol
_atom_site_fract_x
_atom_site_fract_y
_atom_site_fract_z
Dy1 Dy 0.2500 0.2500 0.2500
Mn1 Mn 0.0000 0.0000 0.0000
Be1 Be 0.0000 0.0000 0.5000
Pt1 Pt 0.0000 0.0000 0.2655



[19]
# PBE TlAg2Au, optimized geometry
# Offset from the most stable computed form ... 29 meV/atom
# Total magnetic moment ... 0.0 μB per cell
# Total DFT energy (no corrections) ... -11.00 eV per formula unit
# DFT formation energy ... 8.33 kJ/mol of atoms
data_TlAg2Au
_cell_length_a 5.9389
_cell_length_b 8.7943
_cell_length_c 3.0722
_cell_angle_alpha 90.00
_cell_angle_beta 90.00
_cell_angle_gamma 90.00
_space_group_name_H-M_alt 'C m m m'
_space_group_IT_number 65
_space_group_name_Hall '-C 2 2'
loop_
_atom_site_label
_atom_site_type_symbol
_atom_site_fract_x
_atom_site_fract_y
_atom_site_fract_z
Tl1 Tl 0.0000 0.0000 0.0000
Ag1 Ag 0.2500 0.2500 0.5000
Au1 Au 0.0000 0.5000 0.0000



[20]
# PBE CoAuSe2, optimized geometry
# Total magnetic moment ... 0.0 μB per cell
# Total DFT energy (no corrections) ... -16.40 eV per formula unit
data_CoAuSe2
_cell_length_a 2.8677
_cell_length_b 2.8677
_cell_length_c 8.8416
_cell_angle_alpha 90.00
_cell_angle_beta 90.00
_cell_angle_gamma 90.00
_space_group_name_H-M_alt 'P 4/m m m'
_space_group_IT_number 123
_space_group_name_Hall '-P 4 2'
loop_
_atom_site_label
_atom_site_type_symbol
_atom_site_fract_x
_atom_site_fract_y
_atom_site_fract_z
Co1 Co 0.0000 0.0000 0.0000
Au1 Au 0.0000 0.0000 0.5000
Se1 Se 0.5000 0.5000 0.1746